1.
This record from Alexandria via LeMat-Bulk describes crystalline Sr2SiBiPd6 at its relaxed geometry. The functional is PBE.

Cell and atoms, written as extended XYZ:
```
20
Lattice="5.764 0.000 0.000 0.000 8.958 0.000 0.000 0.000 8.576" Properties=species:S:1:pos:R:3 pbc="T T T"
Sr 1.441 0.036 1.959
Sr 1.441 4.443 1.959
Sr 4.323 4.515 6.618
Sr 4.323 8.922 6.618
Si 1.441 2.239 6.232
Si 4.323 6.718 2.345
Bi 1.441 6.718 6.721
Bi 4.323 2.239 1.855
Pd 0.013 6.718 4.266
Pd 0.079 2.239 8.187
Pd 1.441 0.044 5.155
Pd 1.441 4.435 5.155
Pd 2.803 2.239 8.187
Pd 2.869 6.718 4.266
Pd 2.895 2.239 4.311
Pd 2.960 6.718 0.389
Pd 4.323 4.522 3.421
Pd 4.323 8.914 3.421
Pd 5.685 6.718 0.389
Pd 5.751 2.239 4.311
```

Computed properties:
Raw total energy   -99.765 eV for the cell shown
Crystal system   orthorhombic
Magnetization   0.000 μB/atom
Uncorrected formation energy   -0.606 eV/atom

***

2.
This record from Alexandria via LeMat-Bulk describes crystalline SrSi2BiPd at its relaxed geometry. The functional is PBE.

Cell and atoms, written as extended XYZ:
```
5
Lattice="4.749 0.000 0.000 0.000 4.749 0.000 0.000 0.000 5.907" Properties=species:S:1:pos:R:3 pbc="T T T"
Sr 0.000 0.000 0.000
Si 0.000 2.374 2.954
Si 2.374 0.000 2.954
Bi 2.374 2.374 0.000
Pd 2.374 2.374 2.954
```

Computed properties:
Raw total energy   -21.593 eV for the cell shown
Crystal system   tetragonal
Magnetization   0.000 μB/atom
Uncorrected formation energy   0.002 eV/atom

***

3.
This record from Alexandria via LeMat-Bulk describes crystalline Si2BiPdW at its relaxed geometry. The functional is PBE.

Cell and atoms, written as extended XYZ:
```
5
Lattice="5.265 0.000 0.000 0.000 5.265 0.000 0.000 0.000 5.268" Properties=species:S:1:pos:R:3 pbc="T T T"
Si 0.000 2.632 0.000
Si 2.632 0.000 0.000
Bi 0.000 0.000 0.000
Pd 2.632 2.632 2.634
W 0.000 0.000 2.634
```

Computed properties:
Raw total energy   -21.281 eV for the cell shown
Crystal system   tetragonal
Magnetization   0.611 μB/atom
Uncorrected formation energy   2.318 eV/atom

***

4.
This record from Alexandria via LeMat-Bulk describes crystalline Sm12Bi6Pd at its relaxed geometry. The functional is PBE.

Cell and atoms, written as extended XYZ:
```
19
Lattice="6.792 3.921 4.166 -6.792 3.921 4.166 0.000 -7.842 4.166" Properties=species:S:1:pos:R:3 pbc="T T T"
Sm -4.557 -4.663 6.823
Sm -6.316 1.615 5.675
Sm -1.466 -1.886 4.821
Sm 1.760 -6.277 5.675
Sm -0.901 2.213 4.821
Sm -2.366 0.326 7.677
Sm 2.366 -0.326 4.821
Sm 0.901 -2.213 7.677
Sm -1.760 6.277 6.823
Sm 1.466 1.886 7.677
Sm 6.316 -1.615 6.823
Sm 4.557 4.663 5.675
Bi -3.567 0.515 4.512
Bi 1.338 -3.347 4.512
Bi -2.230 -2.832 7.986
Bi 2.230 2.832 4.512
Bi -1.338 3.347 7.986
Bi 3.567 -0.515 7.986
Pd 0.000 0.000 0.000
```

Computed properties:
Raw total energy   -94.578 eV for the cell shown
Crystal system   trigonal
Energy of formation   -11.493 kcal/mol of atoms
Magnetization   0.000 μB/atom

***

Which of these has the highest raw total energy?
Si2BiPdW